(1)
Entry from Alexandria via LeMat-Bulk: a PBEsol-optimized structure of Tl3GaH (SCAN).

Cell: 4.7954 4.7954 4.7954 Å, 90.00 90.00 90.00°
Positions (direct):
Tl  0.0000  0.0000  0.5000
Tl  0.0000  0.5000  0.0000
Tl  0.5000  0.0000  0.0000
Ga  0.5000  0.5000  0.5000
H  0.0000  0.0000  0.0000

Output
**Energy**: -47.04 eV/atom

---

(2)
Entry from Alexandria via LeMat-Bulk: a PBEsol-optimized structure of PPtO2F (SCAN).

Cell: 3.7108 3.7108 5.0799 Å, 90.00 90.00 90.00°
Positions (direct):
P  0.0000  0.0000  0.0000
Pt  0.0000  0.0000  0.5000
O  0.0000  0.5000  0.5000
O  0.5000  0.0000  0.5000
F  0.5000  0.5000  0.0000

Output
**Formation energy (no corrections)**: 77 meV per atom

---

(3)
Entry from Alexandria via LeMat-Bulk: a PBEsol-optimized structure of Tl2ReSi (SCAN).

Cell: 4.8405 4.8405 3.2496 Å, 90.00 90.00 90.00°
Positions (direct):
Tl  0.0000  0.5000  0.0000
Tl  0.5000  0.0000  0.0000
Re  0.0000  0.0000  0.5000
Si  0.5000  0.5000  0.5000

Output
**Formation energy (no corrections)**: 1323 meV per atom
**Excess energy over the best structure of this formula in the dataset**: 0.930 eV per atom

---

(4)
Entry from Alexandria via LeMat-Bulk: a PBEsol-optimized structure of SbCl (SCAN).

Cell: 5.8370 5.8370 5.8370 Å, 90.00 90.00 90.00°
Positions (direct):
Sb  0.1209  0.1209  0.1209
Sb  0.3791  0.8791  0.6209
Sb  0.6209  0.3791  0.8791
Sb  0.8791  0.6209  0.3791
Cl  0.1286  0.6286  0.8714
Cl  0.3714  0.3714  0.3714
Cl  0.6286  0.8714  0.1286
Cl  0.8714  0.1286  0.6286

Output
**Formation energy (no corrections)**: 0 meV per atom
**Excess energy over the best structure of this formula in the dataset**: 0.222 eV per atom

---

(5)
Entry from Alexandria via LeMat-Bulk: a PBEsol-optimized structure of NiRh2Au (SCAN).

Cell: 3.7738 3.7738 3.8252 Å, 90.00 90.00 90.00°
Positions (direct):
Ni  0.0000  0.0000  0.0000
Rh  0.0000  0.5000  0.5000
Rh  0.5000  0.0000  0.5000
Au  0.5000  0.5000  0.0000

Output
**Energy of formation from the pure elements**: 0.1438 eV/atom
**Excess energy over the best structure of this formula in the dataset**: 0.057 eV per atom

---

(6)
Entry from Alexandria via LeMat-Bulk: a PBEsol-optimized structure of Li2PtPbCl (SCAN).

Cell: 4.8332 4.8332 5.1241 Å, 90.00 90.00 90.00°
Positions (direct):
Li  0.0000  0.5000  0.0000
Li  0.5000  0.0000  0.0000
Pt  0.0000  0.0000  0.0000
Pb  0.0000  0.0000  0.5000
Cl  0.5000  0.5000  0.5000

Output
**Formation energy (no corrections)**: -568 meV per atom

---

(7)
Entry from Alexandria via LeMat-Bulk: a PBEsol-optimized structure of Be2HgTe (SCAN).

Cell: 6.3584 6.3584 6.3584 Å, 148.04 147.53 46.21°
Positions (direct):
Be  0.0000  0.0000  0.0000
Be  0.6224  0.1224  0.5000
Hg  0.4233  0.4233  0.0000
Te  0.1798  0.6798  0.5000

Output
**Formation energy (no corrections)**: 398 meV per atom
**Excess energy over the best structure of this formula in the dataset**: 0.000 eV per atom

---

(8)
Entry from Alexandria via LeMat-Bulk: a PBEsol-optimized structure of YInCl (SCAN).

Cell: 4.7398 4.7398 4.7398 Å, 60.00 60.00 60.00°
Positions (direct):
Y  0.0000  0.0000  0.0000
In  0.5000  0.5000  0.5000
Cl  0.2500  0.2500  0.2500

Output
**Formation energy (no corrections)**: -483 meV per atom

---

(9)
Entry from Alexandria via LeMat-Bulk: a PBEsol-optimized structure of ZrCu2Pb (SCAN).

Cell: 4.7266 4.7266 5.2930 Å, 97.41 97.41 38.77°
Positions (direct):
Zr  0.0000  0.0000  0.0000
Cu  0.2596  0.2596  0.8043
Cu  0.7404  0.7404  0.1957
Pb  0.5000  0.5000  0.5000

Output
**Energy of formation from the pure elements**: 0.0692 eV/atom

---

(10)
Entry from Alexandria via LeMat-Bulk: a PBEsol-optimized structure of Ba8Si43Au3 (SCAN).

Cell: 10.3521 10.3521 10.3521 Å, 90.04 90.04 90.04°
Positions (direct):
Ba  0.0000  0.2387  0.7613
Ba  0.2383  0.7617  0.5000
Ba  0.2387  0.7613  0.0000
Ba  0.2496  0.2496  0.2496
Ba  0.5000  0.2383  0.7617
Ba  0.7504  0.7504  0.7504
Ba  0.7613  0.0000  0.2387
Ba  0.7617  0.5000  0.2383
Si  0.0543  0.8690  0.7483
Si  0.0548  0.6307  0.7483
Si  0.0662  0.0678  0.4370
Si  0.0666  0.0666  0.0666
Si  0.0677  0.4363  0.4365
Si  0.0678  0.4370  0.0662
Si  0.1310  0.9457  0.2517
Si  0.1332  0.5579  0.2516
Si  0.2491  0.5000  0.7509
Si  0.2517  0.1310  0.9457
Si  0.2516  0.1332  0.5579
Si  0.2518  0.3679  0.5582
Si  0.2517  0.3693  0.9452
Si  0.3679  0.5582  0.2518
Si  0.3693  0.9452  0.2517
Si  0.4354  0.4354  0.4354
Si  0.4365  0.0677  0.4363
Si  0.4363  0.4365  0.0677
Si  0.4370  0.0662  0.0678
Si  0.4418  0.6321  0.7482
Si  0.4421  0.8668  0.7484
Si  0.5000  0.7509  0.2491
Si  0.5579  0.2516  0.1332
Si  0.5582  0.2518  0.3679
Si  0.5630  0.9322  0.9338
Si  0.5635  0.5637  0.9323
Si  0.5637  0.9323  0.5635
Si  0.5646  0.5646  0.5646
Si  0.6307  0.7483  0.0548
Si  0.6321  0.7482  0.4418
Si  0.7483  0.0543  0.8690
Si  0.7483  0.0548  0.6307
Si  0.7482  0.4418  0.6321
Si  0.7484  0.4421  0.8668
Si  0.7509  0.2491  0.5000
Si  0.8668  0.7484  0.4421
Si  0.8690  0.7483  0.0543
Si  0.9323  0.5635  0.5637
Si  0.9322  0.9338  0.5630
Si  0.9334  0.9334  0.9334
Si  0.9338  0.5630  0.9322
Si  0.9452  0.2517  0.3693
Si  0.9457  0.2517  0.1310
Au  0.0000  0.7511  0.2489
Au  0.2489  0.0000  0.7511
Au  0.7511  0.2489  0.0000

Output
**Formation energy (no corrections)**: -230 meV per atom

---

(11)
Entry from Alexandria via LeMat-Bulk: a PBEsol-optimized structure of LaFeTc2 (SCAN).

Cell: 5.7187 5.7187 5.7187 Å, 151.75 132.61 56.09°
Positions (direct):
La  0.0000  0.0000  0.0000
Fe  0.5000  0.5000  0.0000
Tc  0.2883  0.7883  0.5000
Tc  0.7117  0.2117  0.5000

Output
**Energy of formation from the pure elements**: 0.5209 eV/atom
**Excess energy over the best structure of this formula in the dataset**: 0.192 eV per atom

---

(12)
Entry from Alexandria via LeMat-Bulk: a PBEsol-optimized structure of BaGeSe2 (SCAN).

Cell: 9.3708 9.3708 9.3708 Å, 23.90 23.90 23.90°
Positions (direct):
Ba  0.0000  0.0000  0.0000
Ge  0.5000  0.5000  0.5000
Se  0.1128  0.1128  0.1128
Se  0.8872  0.8872  0.8872

Output
**Formation energy (no corrections)**: -389 meV per atom

---

(13)
Entry from Alexandria via LeMat-Bulk: a PBEsol-optimized structure of TlZnAg2 (SCAN).

Cell: 5.5409 5.5409 5.5409 Å, 147.15 127.30 63.51°
Positions (direct):
Tl  0.0000  0.0000  0.0000
Zn  0.5000  0.5000  0.0000
Ag  0.2711  0.7711  0.5000
Ag  0.7289  0.2289  0.5000

Output
**Energy of formation from the pure elements**: 0.1531 eV/atom

---

(14)
Entry from Alexandria via LeMat-Bulk: a PBEsol-optimized structure of TiTcP (SCAN).

Cell: 4.9766 4.9766 5.6435 Å, 90.00 90.00 143.08°
Positions (direct):
Ti  0.1892  0.8108  0.5000
Ti  0.8108  0.1892  0.0000
Tc  0.4912  0.5088  0.7288
Tc  0.5088  0.4912  0.2288
P  0.1162  0.8838  0.9716
P  0.8838  0.1162  0.4716

Output
**Energy of formation from the pure elements**: -0.9095 eV/atom

---

(15)
Entry from Alexandria via LeMat-Bulk: a PBEsol-optimized structure of CoAs2Pt (SCAN).

Cell: 6.0082 6.0082 6.0082 Å, 148.62 142.02 50.06°
Positions (direct):
Co  0.0000  0.0000  0.0000
As  0.1534  0.6534  0.5000
As  0.8466  0.3466  0.5000
Pt  0.5000  0.5000  0.0000

Output
**Energy of formation from the pure elements**: -0.0189 eV/atom
**Excess energy over the best structure of this formula in the dataset**: 0.000 eV per atom

---

(16)
Entry from Alexandria via LeMat-Bulk: a PBEsol-optimized structure of Gd2C (SCAN).

Cell: 6.4423 6.4423 6.4423 Å, 32.35 32.35 32.35°
Positions (direct):
Gd  0.2400  0.2400  0.2400
Gd  0.7600  0.7600  0.7600
C  0.5000  0.5000  0.5000

Output
**Energy of formation from the pure elements**: -0.3220 eV/atom

---

(17)
Entry from Alexandria via LeMat-Bulk: a PBEsol-optimized structure of InRu3Se (SCAN).

Cell: 4.4675 4.4675 4.4675 Å, 90.00 90.00 90.00°
Positions (direct):
In  0.0000  0.0000  0.0000
Ru  0.0000  0.5000  0.5000
Ru  0.5000  0.0000  0.5000
Ru  0.5000  0.5000  0.0000
Se  0.5000  0.5000  0.5000

Output
**Formation energy (no corrections)**: 768 meV per atom
**Excess energy over the best structure of this formula in the dataset**: 0.000 eV per atom

---

(18)
Entry from Alexandria via LeMat-Bulk: a PBEsol-optimized structure of KIr3Os (SCAN).

Cell: 4.4654 4.4654 4.4654 Å, 90.00 90.00 90.00°
Positions (direct):
K  0.0000  0.0000  0.0000
Ir  0.0000  0.0000  0.5000
Ir  0.0000  0.5000  0.0000
Ir  0.5000  0.0000  0.0000
Os  0.5000  0.5000  0.5000

Output
**Energy of formation from the pure elements**: 3.9316 eV/atom
**Excess energy over the best structure of this formula in the dataset**: 2.492 eV per atom

---

(19)
Entry from Alexandria via LeMat-Bulk: a PBEsol-optimized structure of Sr2LiW (SCAN).

Cell: 5.4754 5.4754 5.4754 Å, 60.00 60.00 60.00°
Positions (direct):
Sr  0.2500  0.2500  0.2500
Sr  0.7500  0.7500  0.7500
Li  0.0000  0.0000  0.0000
W  0.5000  0.5000  0.5000

Output
**Energy of formation from the pure elements**: 1.0283 eV/atom
**Excess energy over the best structure of this formula in the dataset**: 0.000 eV per atom

---

(20)
Entry from Alexandria via LeMat-Bulk: a PBEsol-optimized structure of ZrIn2Hg (SCAN).

Cell: 5.9518 5.9518 5.4359 Å, 115.51 115.51 30.57°
Positions (direct):
Zr  0.0000  0.0000  0.0000
In  0.2536  0.2536  0.9356
In  0.4930  0.4930  0.5088
Hg  0.7378  0.7378  0.4269

Output
**Energy of formation from the pure elements**: -0.2165 eV/atom

---

no.,N(E_F) (states/eV/f.u.)
1,2.2
2,2.9
3,3.0
4,0.9
5,5.1
6,1.3
7,1.1
8,2.4
9,1.5
10,17.1
11,3.3
12,2.3
13,1.1
14,0.6
15,2.9
16,1.0
17,3.1
18,5.5
19,2.8
20,2.9